(1)
## TbPr2Ir9 (GGA-PBE)

Data for an optimized crystal structure of TbPr2Ir9.

energy of formation from the pure elements: -0.50 eV per atom

The structure in CIF format:
```
data_TbPr2Ir9
_chemical_formula_sum 'Tb3 Pr6 Ir27'
_cell_length_a 5.3611
_cell_length_b 5.3611
_cell_length_c 26.6982
_cell_angle_alpha 90.00
_cell_angle_beta 90.00
_cell_angle_gamma 120.00
_symmetry_space_group_name_H-M 'R -3 m'
_symmetry_Int_Tables_number 166
_symmetry_space_group_name_Hall '-R 3 2"'
loop_
_atom_site_label
_atom_site_type_symbol
_atom_site_fract_x
_atom_site_fract_y
_atom_site_fract_z
Tb1 Tb 0.0000 0.0000 0.0000
Pr1 Pr 0.0000 0.0000 0.1394
Ir1 Ir 0.0000 0.0000 0.3321
Ir2 Ir 0.0000 0.0000 0.5000
Ir3 Ir 0.0034 0.5017 0.0802
```


(2)
## Pr9Dy3Y2 (GGA-PBE)

Data for an optimized crystal structure of Pr9Dy3Y2.

energy of formation from the pure elements: 0.23 eV per atom

The structure in CIF format:
```
data_Pr9Dy3Y2
_chemical_formula_sum 'Pr18 Dy6 Y4'
_cell_length_a 9.1066
_cell_length_b 9.1066
_cell_length_c 14.1999
_cell_angle_alpha 90.00
_cell_angle_beta 90.00
_cell_angle_gamma 120.00
_symmetry_space_group_name_H-M 'P 63/m'
_symmetry_Int_Tables_number 176
_symmetry_space_group_name_Hall '-P 6c'
loop_
_atom_site_label
_atom_site_type_symbol
_atom_site_fract_x
_atom_site_fract_y
_atom_site_fract_z
Pr1 Pr 0.0792 0.4815 0.2500
Pr2 Pr 0.1320 0.7276 0.0427
Dy1 Dy 0.0778 0.2489 0.7500
Y1 Y 0.3333 0.6667 0.6422
```